Record 1
This record from OQMD via LeMat-Bulk describes a geometry-optimized TmSe structure. The functional is PBE. Values from VASP.

```
&SYSTEM
  ibrav = 0, nat = 2, ntyp = 2
/
ATOMIC_SPECIES
Tm 168.93 Tm.upf
Se 78.96 Se.upf
CELL_PARAMETERS angstrom
0.000 2.834 2.834
2.834 0.000 2.834
2.834 2.834 0.000
ATOMIC_POSITIONS angstrom
Tm 2.834 2.834 2.834
Se 0.000 0.000 0.000
```

Values from the calculation:
- Space group: Fm-3m
- Total energy: -5.635 eV per atom

Record 2
This record from OQMD via LeMat-Bulk describes a geometry-optimized HfUB structure. The functional is PBE. Values from VASP.

```
&SYSTEM
  ibrav = 0, nat = 3, ntyp = 3
/
ATOMIC_SPECIES
U 238.03 U.upf
B 10.81 B.upf
Hf 178.49 Hf.upf
CELL_PARAMETERS angstrom
0.000 3.007 3.007
3.007 0.000 3.007
3.007 3.007 0.000
ATOMIC_POSITIONS angstrom
U 4.510 4.510 4.510
B 0.000 0.000 0.000
Hf 1.503 1.503 1.503
```

Values from the calculation:
- Space group: F-43m
- Energy above the most stable polymorph in this dataset: 0.0 meV/atom

Record 3
This record from OQMD via LeMat-Bulk describes a geometry-optimized LiCuSnOs structure. The functional is PBE. Values from VASP.

```
&SYSTEM
  ibrav = 0, nat = 4, ntyp = 4
/
ATOMIC_SPECIES
Sn 118.71 Sn.upf
Cu 63.55 Cu.upf
Li 6.94 Li.upf
Os 190.23 Os.upf
CELL_PARAMETERS angstrom
0.000 3.101 3.101
3.101 0.000 3.101
3.101 3.101 0.000
ATOMIC_POSITIONS angstrom
Sn 0.000 0.000 0.000
Cu 4.652 4.652 4.652
Li 3.101 3.101 3.101
Os 1.551 1.551 1.551
```

Values from the calculation:
- Space group: F-43m
- Energy above the most stable polymorph in this dataset: 0.0 meV/atom

Record 4
This record from OQMD via LeMat-Bulk describes a geometry-optimized GdCuCl structure. The functional is PBE. Values from VASP.

```
&SYSTEM
  ibrav = 0, nat = 3, ntyp = 3
/
ATOMIC_SPECIES
Cu 63.55 Cu.upf
Cl 35.45 Cl.upf
Gd 157.25 Gd.upf
CELL_PARAMETERS angstrom
-3.300 1.861 -3.185
2.275 -4.277 -1.011
-2.439 -1.665 1.555
ATOMIC_POSITIONS angstrom
Cu 0.000 0.000 0.000
Cl 0.417 -2.231 -1.736
Gd -1.442 -0.185 -2.460
```

Values from the calculation:
- Space group: P-6m2
- Total energy: -3.691 eV per atom

Record 5
This record from OQMD via LeMat-Bulk describes a geometry-optimized ZrPIrO structure. The functional is PBE. Values from VASP.

```
&SYSTEM
  ibrav = 0, nat = 8, ntyp = 4
/
ATOMIC_SPECIES
P 30.97 P.upf
Zr 91.22 Zr.upf
O 16.00 O.upf
Ir 192.22 Ir.upf
CELL_PARAMETERS angstrom
5.221 0.000 0.000
0.000 5.221 0.000
0.000 0.000 4.471
ATOMIC_POSITIONS angstrom
P 2.611 0.000 2.212
P 0.000 2.611 2.259
Zr 2.611 2.611 2.235
Zr 0.000 0.000 2.235
O 2.611 2.611 0.000
O 0.000 0.000 0.000
Ir 0.000 2.611 0.023
Ir 2.611 0.000 4.448
```

Values from the calculation:
- Space group: P4/nmm
- Energy above the most stable polymorph in this dataset: 902.8 meV/atom

Record 6
This record from OQMD via LeMat-Bulk describes a geometry-optimized Ba6Co25S27 structure. The functional is PBE. Values from VASP.

```
&SYSTEM
  ibrav = 0, nat = 58, ntyp = 3
/
ATOMIC_SPECIES
Co 58.93 Co.upf
S 32.06 S.upf
Ba 137.33 Ba.upf
CELL_PARAMETERS angstrom
-7.631 3.237 -5.521
4.157 -4.025 -8.106
-4.866 -8.516 1.733
ATOMIC_POSITIONS angstrom
Co -3.438 -9.727 -7.592
Co -8.265 -7.135 -8.410
Co -9.349 -6.086 -6.296
Co -0.431 -8.457 -6.681
Co 0.839 -6.236 -7.133
Co -5.738 0.234 -7.582
Co -2.912 -0.421 -2.863
Co -6.523 -6.740 -1.576
Co -5.428 -8.883 -9.032
Co 0.173 -3.408 -8.878
Co -7.910 -0.847 -5.214
Co -2.247 -3.249 -1.117
Co -2.602 -9.538 -4.313
Co -4.824 -3.834 -11.230
Co 0.000 0.000 0.000
Co -4.902 0.424 -4.303
Co 1.009 -3.218 -5.599
Co -3.516 -5.470 -0.665
Co -6.094 -6.055 -10.778
Co -4.654 -0.816 -9.696
Co -8.514 -5.896 -3.017
Co -3.686 -8.488 -2.199
Co -0.075 -2.168 -3.485
Co -9.179 -3.068 -4.762
Co -1.817 -2.564 -10.318
S -6.162 -6.875 -8.789
S -2.178 -2.429 -3.106
S -1.595 -8.441 -2.745
S -3.682 0.431 -8.221
S -1.414 -5.245 -1.120
S -0.191 -4.353 -6.979
S -1.820 0.772 -1.317
S -5.008 -0.469 -2.336
S 3.166 -3.065 -6.173
S -2.797 0.632 -4.748
S -3.706 -6.484 1.320
S -3.837 -2.806 -9.617
S -7.489 -4.810 -1.452
S -5.824 -0.883 -5.744
S 0.886 -4.100 -3.628
S 0.208 -1.219 -5.406
S -4.304 -3.464 -0.487
S 0.705 -7.297 -5.253
S -0.677 -1.420 -8.880
S -1.161 -2.031 0.413
S -4.170 -4.652 -5.947
S -2.516 -8.421 -6.151
S -4.503 -6.498 -2.278
S 0.992 -0.960 -1.934
S -8.194 -1.814 -3.302
S -8.149 -4.951 -4.916
S -5.811 2.465 -4.204
Ba -6.502 -3.663 -7.635
Ba -5.657 -7.254 -5.418
Ba -2.900 -5.882 -8.424
Ba -5.440 -3.422 -3.470
Ba -2.683 -2.050 -6.477
Ba -1.838 -5.641 -4.260
```

Values from the calculation:
- Space group: Pm-3m
- Total energy: -5.905 eV per atom

Record 7
This record from OQMD via LeMat-Bulk describes a geometry-optimized Mo2C structure. The functional is PBE. Values from VASP.

```
&SYSTEM
  ibrav = 0, nat = 3, ntyp = 2
/
ATOMIC_SPECIES
C 12.01 C.upf
Mo 95.94 Mo.upf
CELL_PARAMETERS angstrom
-2.590 -0.682 -1.069
2.373 -1.244 -1.066
-0.458 -4.018 3.672
ATOMIC_POSITIONS angstrom
C 0.000 0.000 0.000
Mo 0.602 -2.085 -0.128
Mo 0.378 -4.047 1.666
```

Values from the calculation:
- Space group: P-6m2
- Total energy: -9.767 eV per atom

Record 8
This record from OQMD via LeMat-Bulk describes a geometry-optimized AcTaNO structure. The functional is PBE. Values from VASP.

```
&SYSTEM
  ibrav = 0, nat = 8, ntyp = 4
/
ATOMIC_SPECIES
N 14.01 N.upf
Ta 180.95 Ta.upf
O 16.00 O.upf
Ac 227.00 Ac.upf
CELL_PARAMETERS angstrom
4.587 0.000 0.000
0.000 4.587 0.000
0.000 0.000 6.222
ATOMIC_POSITIONS angstrom
N 0.000 2.294 4.258
N 2.294 0.000 1.964
Ta 2.294 0.000 0.092
Ta 0.000 2.294 6.131
O 0.000 0.000 0.000
O 2.294 2.294 0.000
Ac 0.000 0.000 3.111
Ac 2.294 2.294 3.111
```

Values from the calculation:
- Space group: P4/nmm
- Energy above the most stable polymorph in this dataset: 811.6 meV/atom

Number 1: V 46 Å³ per cell. Number 2: V 54 Å³ per cell. Number 3: V 60 Å³ per cell. Number 4: V 71 Å³ per cell. Number 5: V 122 Å³ per cell. Number 6: V 988 Å³ per cell. Number 7: V 39 Å³ per cell. Number 8: V 131 Å³ per cell.